An optimized crystal structure of Dy3Ir2Pd2. Source: Alexandria, functional PBE.

a = 8.178 Å, b = 4.725 Å, c = 7.721 Å
α = 90.00°, β = 110.97°, γ = 90.00°
Space group C2/m (No. 12)
Asymmetric unit:
Dy 0.000 0.000 0.000
Dy 0.073 0.500 0.720
Ir 0.212 0.500 0.133
Pd 0.155 0.000 0.466

Output
The electronic total energy is -94.1 eV for the cell shown. For the density, the calculation gives 12.930 g/cm³. The calculation puts the formation energy at -0.737 eV/atom.


An optimized crystal structure of Dy3Ir2Pd. Source: Alexandria, functional PBE.

a = 4.952 Å, b = 14.858 Å, c = 3.351 Å
α = 90.00°, β = 90.00°, γ = 90.00°
Space group Cmmm (No. 65)
Asymmetric unit:
Dy 0.000 0.000 0.000
Dy 0.000 0.330 0.000
Ir 0.000 0.165 0.500
Pd 0.000 0.500 0.500

Output
The electronic total energy is -83.8 eV for the cell shown. For the density, the calculation gives 13.176 g/cm³. The calculation puts the formation energy at -0.860 eV/atom.


An optimized crystal structure of Dy6IrPd5. Source: Alexandria, functional PBE.

a = 4.974 Å, b = 14.894 Å, c = 6.905 Å
α = 90.00°, β = 90.00°, γ = 90.00°
Space group Cmmm (No. 65)
Asymmetric unit:
Dy 0.000 0.000 0.244
Dy 0.000 0.337 0.247
Ir 0.000 0.500 0.000
Pd 0.000 0.167 0.500
Pd 0.000 0.170 0.000
Pd 0.000 0.500 0.500

Output
The electronic total energy is -146.4 eV for the cell shown. For the density, the calculation gives 11.032 g/cm³. The calculation puts the formation energy at -0.898 eV/atom.


An optimized crystal structure of Dy5IrPd2. Source: Alexandria, functional PBE.

a = 7.176 Å, b = 7.176 Å, c = 14.979 Å
α = 90.00°, β = 90.00°, γ = 90.00°
Space group I4/mcm (No. 140)
Asymmetric unit:
Dy 0.000 0.000 0.000
Dy 0.173 0.327 0.151
Ir 0.000 0.000 0.250
Pd 0.133 0.367 0.500

Output
The electronic total energy is -191.3 eV for the cell shown. For the density, the calculation gives 10.486 g/cm³. The calculation puts the formation energy at -0.697 eV/atom.


An optimized crystal structure of Dy2IrPd2. Source: Alexandria, functional PBE.

a = 6.247 Å, b = 12.165 Å, c = 5.638 Å
α = 90.00°, β = 90.00°, γ = 90.00°
Space group Ibam (No. 72)
Asymmetric unit:
Dy 0.224 0.161 0.000
Ir 0.000 0.000 0.250
Pd 0.166 0.402 0.000

Output
The electronic total energy is -126.0 eV for the cell shown. For the density, the calculation gives 11.319 g/cm³. The calculation puts the formation energy at -0.611 eV/atom.


An optimized crystal structure of Dy4Ir3Pd. Source: Alexandria, functional PBE.

a = 4.815 Å, b = 4.815 Å, c = 7.050 Å
α = 90.00°, β = 90.00°, γ = 90.00°
Space group P4/mmm (No. 123)
Asymmetric unit:
Dy 0.000 0.500 0.246
Ir 0.000 0.000 0.000
Ir 0.000 0.000 0.500
Ir 0.500 0.500 0.000
Pd 0.500 0.500 0.500

Output
The electronic total energy is -57.1 eV for the cell shown. For the density, the calculation gives 13.543 g/cm³. The calculation puts the formation energy at -0.860 eV/atom.


An optimized crystal structure of Dy7Ir2Pd2. Source: Alexandria, functional PBE.

a = 8.202 Å, b = 10.511 Å, c = 6.914 Å
α = 90.00°, β = 90.00°, γ = 90.00°
Space group Cmmm (No. 65)
Asymmetric unit:
Dy 0.000 0.000 0.000
Dy 0.000 0.500 0.254
Dy 0.250 0.250 0.258
Ir 0.000 0.282 0.000
Pd 0.209 0.000 0.500

Output
The electronic total energy is -132.8 eV for the cell shown. For the density, the calculation gives 9.665 g/cm³. The calculation puts the formation energy at -0.554 eV/atom.


An optimized crystal structure of Dy8IrPd2. Source: Alexandria, functional PBE.

a = 8.277 Å, b = 12.992 Å, c = 6.009 Å
α = 90.00°, β = 111.08°, γ = 90.00°
Space group Cm (No. 8)
Asymmetric unit:
Dy 0.000 0.000 0.000
Dy 0.069 0.374 0.769
Dy 0.143 0.126 0.560
Dy 0.214 0.500 0.355
Dy 0.355 0.205 0.175
Ir 0.358 0.000 0.349
Pd 0.360 0.307 0.678

Output
The electronic total energy is -121.1 eV for the cell shown. For the density, the calculation gives 9.392 g/cm³. The calculation puts the formation energy at -0.410 eV/atom.


An optimized crystal structure of DyIrPd. Source: Alexandria, functional PBE.

a = 4.130 Å, b = 4.167 Å, c = 6.795 Å
α = 90.00°, β = 107.69°, γ = 90.00°
Space group P2_1/m (No. 11)
Asymmetric unit:
Dy 0.105 0.250 0.206
Ir 0.246 0.750 0.498
Pd 0.413 0.250 0.825

Output
The electronic total energy is -40.8 eV for the cell shown. For the density, the calculation gives 13.744 g/cm³. The calculation puts the formation energy at -0.574 eV/atom.


An optimized crystal structure of Dy8Ir2Pd. Source: Alexandria, functional PBE.

a = 8.445 Å, b = 12.508 Å, c = 5.894 Å
α = 90.00°, β = 107.23°, γ = 90.00°
Space group Cm (No. 8)
Asymmetric unit:
Dy 0.000 0.000 0.000
Dy 0.074 0.369 0.786
Dy 0.163 0.131 0.586
Dy 0.233 0.500 0.377
Dy 0.366 0.224 0.190
Ir 0.369 0.311 0.689
Pd 0.368 0.000 0.329

Output
The electronic total energy is -129.7 eV for the cell shown. For the density, the calculation gives 10.002 g/cm³. The calculation puts the formation energy at -0.467 eV/atom.


An optimized crystal structure of Dy4IrPd2. Source: Alexandria, functional PBE.

a = 4.8874 Å, b = 4.8874 Å, c = 24.1572 Å
α = 90.00°, β = 90.00°, γ = 120.00°
Space group R-3m (No. 166, hexagonal axes)
Asymmetric unit:
Dy 0.0000 0.0000 0.1225
Dy 0.0000 0.0000 0.3732
Ir 0.0000 0.0000 0.0000
Pd 0.0000 0.0000 0.2486

Output
The electronic total energy is -128.8 eV for the cell shown. For the density, the calculation gives 10.518 g/cm³. The calculation puts the formation energy at -0.755 eV/atom.


An optimized crystal structure of Dy4IrPd2. Source: Alexandria, functional PBE.

a = 8.685 Å, b = 8.685 Å, c = 8.746 Å
α = 90.00°, β = 90.00°, γ = 90.00°
Space group I-42d (No. 122)
Asymmetric unit:
Dy 0.060 0.691 0.443
Ir 0.000 0.000 0.500
Pd 0.120 0.750 0.125

Output
The electronic total energy is -172.6 eV for the cell shown. For the density, the calculation gives 10.623 g/cm³. The calculation puts the formation energy at -0.784 eV/atom.